Entry 1:
ErAl2Cu9 | PBE-GGA | optimized geometry

a = 6.577 Å, b = 7.855 Å, c = 7.855 Å
α = 79.91°, β = 65.25°, γ = 65.25°
Fractional coordinates of all 24 atoms:
Er 0.500 0.000 0.000
Er 0.250 0.500 0.500
Al 0.875 0.250 0.750
Al 0.875 0.750 0.250
Al 0.875 0.250 0.250
Al 0.375 0.750 0.750
Cu 0.750 0.500 0.500
Cu 0.000 0.000 0.000
Cu 0.011 0.915 0.671
Cu 0.597 0.085 0.329
Cu 0.676 0.171 0.585
Cu 0.432 0.829 0.415
Cu 0.739 0.829 0.585
Cu 0.153 0.171 0.415
Cu 0.074 0.915 0.329
Cu 0.318 0.085 0.671
Cu 0.739 0.585 0.829
Cu 0.153 0.415 0.171
Cu 0.074 0.329 0.915
Cu 0.318 0.671 0.085
Cu 0.011 0.671 0.915
Cu 0.597 0.329 0.085
Cu 0.676 0.585 0.171
Cu 0.432 0.415 0.829

Values from the calculation:
SG: I4_1/amd (141)
Energy of formation: -2.3 eV per formula unit

***

Entry 2:
Rb2ReCI6 | PBE-GGA | optimized geometry

a = 7.804 Å, b = 7.804 Å, c = 8.250 Å
α = 61.77°, β = 61.77°, γ = 90.00°
Site moments in Bohr magnetons follow the coordinates.
Fractional coordinates of all 10 atoms:
I 0.224 0.224 0.553  0.04
I 0.776 0.776 0.447  0.04
I 0.255 0.255 0.000  0.04
I 0.745 0.745 0.000  0.04
I 0.745 0.255 0.000  0.04
I 0.255 0.745 0.000  0.04
Re 0.000 0.000 0.000  2.60
C 0.500 0.500 0.000  0.74
Rb 0.750 0.250 0.500  0.00
Rb 0.250 0.750 0.500  0.00

Values from the calculation:
SG: I4/mmm (139)
Raw formation energy: 9 kJ/mol of atoms

***

Entry 3:
Y5Hg2Pt | PBE-GGA | optimized geometry

a = 4.906 Å, b = 7.059 Å, c = 12.384 Å
α = 90.00°, β = 90.00°, γ = 90.00°
Fractional coordinates of all 16 atoms:
Y 0.000 0.000 0.500
Y 0.000 0.500 0.000
Y 0.000 0.858 0.211
Y 0.000 0.142 0.789
Y 0.000 0.642 0.711
Y 0.000 0.358 0.289
Y 0.500 0.676 0.414
Y 0.500 0.324 0.586
Y 0.500 0.824 0.914
Y 0.500 0.176 0.086
Hg 0.500 0.585 0.163
Hg 0.500 0.415 0.837
Hg 0.500 0.915 0.663
Hg 0.500 0.085 0.337
Pt 0.000 0.500 0.500
Pt 0.000 0.000 0.000

Values from the calculation:
SG: Pbam (55)
Energy of formation: -4.8 eV per formula unit

***

Entry 4:
SmGeAs | PBE-GGA | optimized geometry

a = 3.940 Å, b = 3.940 Å, c = 5.744 Å
α = 69.94°, β = 69.94°, γ = 60.00°
Fractional coordinates of all 3 atoms:
Sm 0.330 0.330 0.009
Ge 0.534 0.534 0.397
As 0.121 0.121 0.638

Values from the calculation:
SG: R3m (160)
Energy of formation: -1.7 eV per formula unit

***

Entry 5:
Tb4CeNd | PBE-GGA | optimized geometry

a = 11.624 Å, b = 6.638 Å, c = 8.396 Å
α = 113.29°, β = 133.81°, γ = 90.00°
Site moments in Bohr magnetons follow the coordinates.
Fractional coordinates of all 12 atoms:
Tb 0.833 0.830 0.666  0.00
Tb 0.169 0.665 0.831  0.03
Tb 0.661 0.665 0.831  0.03
Tb 0.833 0.336 0.666  0.00
Tb 0.167 0.664 0.334  0.00
Tb 0.831 0.335 0.169  0.03
Tb 0.339 0.335 0.169  0.03
Tb 0.167 0.170 0.334  0.00
Ce 0.500 0.500 0.000  0.86
Ce 0.500 0.000 0.000  0.86
Nd 0.500 0.000 0.500  0.01
Nd 0.000 0.000 0.500  0.01

Values from the calculation:
SG: Imma (74)
Energy of formation: 1.5 eV per formula unit

***

Number 1: M_tot 0.000 μB per formula unit. Number 2: M_tot 5.000 μB per formula unit. Number 3: M_tot 0.000 μB per formula unit. Number 4: M_tot 0.000 μB per formula unit. Number 5: M_tot 1.211 μB per formula unit.